Entry 1:
Ni15Mo2Ir2, relaxed, DFT GGA-PBE; total magnetization = 6.141 μB per formula unit; symmetry = R-3m (166); formation enthalpy at 0 K = 0.1636 eV/atom; electronic total energy = -6.4735 eV/atom; volume = 12.16 Å³/atom
1.0
-2.729 -4.618 3.109
4.568 -4.176 -0.357
2.578 0.978 5.553
Ni Mo Ir
15 2 2
Cartesian
-1.364 -2.309 1.554 Ni
1.289 0.489 2.776 Ni
2.284 -2.088 -0.178 Ni
3.949 -2.573 1.482 Ni
-0.459 -4.480 2.031 Ni
0.927 -0.763 4.792 Ni
2.298 -4.313 0.721 Ni
-1.078 -2.877 3.869 Ni
3.197 -0.625 3.714 Ni
4.168 -2.814 3.858 Ni
1.606 -5.516 2.678 Ni
0.645 -3.027 5.531 Ni
0.249 -5.002 4.447 Ni
2.812 -2.300 5.627 Ni
3.773 -4.789 2.773 Ni
1.394 -2.466 2.620 Mo
3.024 -5.350 5.685 Mo
0.460 -0.814 0.865 Ir
3.957 -7.002 7.440 Ir

=====

Entry 2:
NiMo2Ir, relaxed, DFT GGA-PBE; total magnetization = 0.000 μB per formula unit; symmetry = P4mm (99); formation enthalpy at 0 K = -0.0278 eV/atom; electronic total energy = -9.1040 eV/atom; E above lowest polymorph = 144 meV/atom; volume = 14.41 Å³/atom
1.0
-0.887 -2.515 0.484
2.436 -0.990 -0.660
2.285 0.634 7.479
Ir Mo Ni
1 2 1
Cartesian
2.468 -1.282 5.454 Ir
2.250 0.624 7.362 Mo
1.397 -1.580 1.948 Mo
1.148 0.319 3.757 Ni

=====

Entry 3:
Ni2MoIr, relaxed, DFT GGA-PBE; total magnetization = 0.000 μB per formula unit; symmetry = Pmmm (47); formation enthalpy at 0 K = -0.0258 eV/atom; electronic total energy = -7.8395 eV/atom; E above lowest polymorph = 168 meV/atom; volume = 13.06 Å³/atom
1.0
-0.991 -0.201 -3.611
-1.980 -1.667 0.636
-1.231 5.738 0.018
Ni Mo Ir
2 1 1
Cartesian
-0.800 1.015 0.163 Ni
-2.410 3.056 0.491 Ni
-1.485 -0.934 -1.487 Mo
-1.111 2.768 -1.796 Ir

=====

> What is the electronic total energy in the second record?

-9.1040 eV/atom

=====

> Which formula does entry 2 have?

NiMo2Ir